## Tb2SmHoAs4 (PBE)

Data for crystalline Tb2SmHoAs4 at its relaxed geometry.

Summary:
- SG = P2/m, No. 10
- crystal system = monoclinic
- calculated volume (Å³ per cell) = 202
- calculated formation energy (meV/atom) = -1532

Cell lengths 7.184, 4.150, 7.185 Å; angles 90.00, 109.46, 90.00 degrees
Element x y z (fractional)
Tb: 0.000 0.000 0.000
Tb: 0.500 0.500 0.000
Sm: 0.000 0.500 0.500
Ho: 0.500 0.000 0.500
As: 0.253 0.500 0.250
As: 0.254 0.000 0.752
As: 0.746 0.000 0.248
As: 0.747 0.500 0.750


## Sm2HoTe2As2 (PBE)

Data for crystalline Sm2HoTe2As2 at its relaxed geometry.

Summary:
- E_form (uncorrected) (eV/atom) = -0.990
- SG = I4/mmm, No. 139
- crystal system = tetragonal
- calculated volume (Å³ per cell) = 219

Cell lengths 8.637, 8.637, 8.637 Å; angles 144.21, 144.21, 51.52 degrees
Element x y z (fractional)
Sm: 0.111 0.111 0.000
Sm: 0.889 0.889 0.000
Ho: 0.500 0.500 0.000
Te: 0.306 0.306 0.000
Te: 0.694 0.694 0.000
As: 0.000 0.500 0.500
As: 0.500 0.000 0.500


## SmHoTeAs (PBE)

Data for crystalline SmHoTeAs at its relaxed geometry.

Summary:
- E_form (uncorrected) (eV/atom) = -1.458
- SG = R3m, No. 160
- crystal system = trigonal
- calculated volume (Å³ per cell) = 112

Cell lengths 7.781, 7.781, 7.781 Å; angles 31.11, 31.11, 31.11 degrees
Element x y z (fractional)
Sm: 0.000 0.000 0.000
Ho: 0.189 0.189 0.189
Te: 0.430 0.430 0.430
As: 0.594 0.594 0.594


## SmHoTh2As4 (PBE)

Data for crystalline SmHoTh2As4 at its relaxed geometry.

Summary:
- SG = P2/m, No. 10
- crystal system = monoclinic
- calculated volume (Å³ per cell) = 211
- calculated formation energy (meV/atom) = -1467

Cell lengths 7.256, 4.218, 7.306 Å; angles 90.00, 109.67, 90.00 degrees
Element x y z (fractional)
Sm: 0.000 0.000 0.000
Ho: 0.000 0.500 0.500
Th: 0.500 0.000 0.500
Th: 0.500 0.500 0.000
As: 0.244 0.000 0.745
As: 0.246 0.500 0.252
As: 0.754 0.500 0.748
As: 0.756 0.000 0.255


## SmHo2ThAs4 (PBE)

Data for crystalline SmHo2ThAs4 at its relaxed geometry.

Summary:
- SG = P2/m, No. 10
- crystal system = monoclinic
- calculated volume (Å³ per cell) = 205
- calculated formation energy (meV/atom) = -1512

Cell lengths 7.203, 4.177, 7.223 Å; angles 90.00, 109.49, 90.00 degrees
Element x y z (fractional)
Sm: 0.000 0.000 0.000
Ho: 0.500 0.000 0.500
Ho: 0.500 0.500 0.000
Th: 0.000 0.500 0.500
As: 0.257 0.500 0.253
As: 0.258 0.000 0.753
As: 0.742 0.000 0.247
As: 0.743 0.500 0.747


## Sm2HoTh3As6 (PBE)

Data for crystalline Sm2HoTh3As6 at its relaxed geometry.

Summary:
- SG = C2/m, No. 12
- crystal system = monoclinic
- calculated volume (Å³ per cell) = 318
- calculated formation energy (meV/atom) = -1471

Cell lengths 9.423, 9.423, 8.409 Å; angles 102.66, 102.66, 25.91 degrees
Element x y z (fractional)
Sm: 0.166 0.166 0.333
Sm: 0.834 0.834 0.667
Ho: 0.500 0.500 0.000
Th: 0.167 0.167 0.834
Th: 0.500 0.500 0.500
Th: 0.833 0.833 0.166
As: 0.000 0.000 0.244
As: 0.000 0.000 0.756
As: 0.333 0.333 0.417
As: 0.336 0.336 0.917
As: 0.664 0.664 0.083
As: 0.667 0.667 0.583


## Sm2HoTm3As6 (PBE)

Data for crystalline Sm2HoTm3As6 at its relaxed geometry.

Summary:
- SG = C2/m, No. 12
- crystal system = monoclinic
- calculated volume (Å³ per cell) = 297
- calculated formation energy (meV/atom) = -1511

Cell lengths 9.211, 9.211, 8.238 Å; angles 102.87, 102.87, 25.86 degrees
Element x y z (fractional)
Sm: 0.166 0.166 0.332
Sm: 0.834 0.834 0.668
Ho: 0.500 0.500 0.000
Tm: 0.167 0.167 0.834
Tm: 0.500 0.500 0.500
Tm: 0.833 0.833 0.166
As: 0.002 0.002 0.750
As: 0.333 0.333 0.923
As: 0.335 0.335 0.411
As: 0.665 0.665 0.589
As: 0.667 0.667 0.077
As: 0.998 0.998 0.250


## Sm3Ho2TmAs6 (PBE)

Data for crystalline Sm3Ho2TmAs6 at its relaxed geometry.

Summary:
- SG = C2/m, No. 12
- crystal system = monoclinic
- calculated volume (Å³ per cell) = 304
- calculated formation energy (meV/atom) = -1520

Cell lengths 9.280, 9.280, 8.299 Å; angles 102.87, 102.87, 25.86 degrees
Element x y z (fractional)
Sm: 0.000 0.000 0.000
Sm: 0.333 0.333 0.666
Sm: 0.667 0.667 0.334
Ho: 0.333 0.333 0.167
Ho: 0.667 0.667 0.833
Tm: 0.000 0.000 0.500
As: 0.164 0.164 0.587
As: 0.168 0.168 0.079
As: 0.499 0.499 0.256
As: 0.501 0.501 0.744
As: 0.832 0.832 0.921
As: 0.836 0.836 0.413


## Sm3HoTm2As6 (PBE)

Data for crystalline Sm3HoTm2As6 at its relaxed geometry.

Summary:
- SG = C2/m, No. 12
- crystal system = monoclinic
- calculated volume (Å³ per cell) = 302
- calculated formation energy (meV/atom) = -1516

Cell lengths 7.182, 7.182, 7.176 Å; angles 99.59, 99.59, 119.99 degrees
Element x y z (fractional)
Sm: 0.000 0.000 0.000
Sm: 0.334 0.666 0.000
Sm: 0.666 0.334 0.000
Ho: 0.500 0.500 0.500
Tm: 0.167 0.833 0.500
Tm: 0.833 0.167 0.500
As: 0.085 0.420 0.259
As: 0.246 0.246 0.741
As: 0.420 0.085 0.259
As: 0.580 0.915 0.741
As: 0.754 0.754 0.259
As: 0.915 0.580 0.741


## SmHo2UAs4 (PBE)

Data for crystalline SmHo2UAs4 at its relaxed geometry.

Summary:
- SG = P2/m, No. 10
- crystal system = monoclinic
- calculated volume (Å³ per cell) = 198
- calculated formation energy (meV/atom) = -1321

Cell lengths 7.136, 4.109, 7.140 Å; angles 90.00, 109.19, 90.00 degrees
Element x y z (fractional)
Sm: 0.000 0.000 0.000
Ho: 0.500 0.000 0.500
Ho: 0.500 0.500 0.000
U: 0.000 0.500 0.500
As: 0.251 0.000 0.746
As: 0.252 0.500 0.258
As: 0.748 0.500 0.742
As: 0.749 0.000 0.254


## SmY2Ho3As6 (PBE)

Data for crystalline SmY2Ho3As6 at its relaxed geometry.

Summary:
- SG = C2/m, No. 12
- crystal system = monoclinic
- calculated volume (Å³ per cell) = 298
- calculated formation energy (meV/atom) = -1536

Cell lengths 9.228, 9.228, 8.253 Å; angles 102.91, 102.91, 25.85 degrees
Element x y z (fractional)
Sm: 0.000 0.000 0.000
Y: 0.333 0.333 0.666
Y: 0.667 0.667 0.334
Ho: 0.000 0.000 0.500
Ho: 0.334 0.334 0.167
Ho: 0.666 0.666 0.833
As: 0.166 0.166 0.584
As: 0.168 0.168 0.083
As: 0.500 0.500 0.255
As: 0.500 0.500 0.745
As: 0.832 0.832 0.917
As: 0.834 0.834 0.416


## Sm2YHoAs4 (PBE)

Data for crystalline Sm2YHoAs4 at its relaxed geometry.

Summary:
- SG = P2/m, No. 10
- crystal system = monoclinic
- calculated volume (Å³ per cell) = 204
- calculated formation energy (meV/atom) = -1534

Cell lengths 7.208, 4.166, 7.212 Å; angles 90.00, 109.48, 90.00 degrees
Element x y z (fractional)
Sm: 0.000 0.000 0.000
Sm: 0.000 0.500 0.500
Y: 0.500 0.000 0.500
Ho: 0.500 0.500 0.000
As: 0.256 0.000 0.753
As: 0.256 0.500 0.251
As: 0.744 0.000 0.247
As: 0.744 0.500 0.749


## SmYHo2As4 (PBE)

Data for crystalline SmYHo2As4 at its relaxed geometry.

Summary:
- SG = P2/m, No. 10
- crystal system = monoclinic
- calculated volume (Å³ per cell) = 200
- calculated formation energy (meV/atom) = -1533

Cell lengths 7.161, 4.137, 7.161 Å; angles 90.00, 109.47, 90.00 degrees
Element x y z (fractional)
Sm: 0.000 0.000 0.000
Y: 0.500 0.500 0.000
Ho: 0.000 0.500 0.500
Ho: 0.500 0.000 0.500
As: 0.251 0.000 0.746
As: 0.254 0.500 0.255
As: 0.746 0.500 0.745
As: 0.749 0.000 0.254


## SmHo2ZrAs4 (PBE)

Data for crystalline SmHo2ZrAs4 at its relaxed geometry.

Summary:
- SG = P2/m, No. 10
- crystal system = monoclinic
- calculated volume (Å³ per cell) = 190
- calculated formation energy (meV/atom) = -1413

Cell lengths 7.028, 4.060, 7.038 Å; angles 90.00, 109.28, 90.00 degrees
Element x y z (fractional)
Sm: 0.000 0.000 0.000
Ho: 0.500 0.000 0.500
Ho: 0.500 0.500 0.000
Zr: 0.000 0.500 0.500
As: 0.243 0.000 0.738
As: 0.250 0.500 0.260
As: 0.750 0.500 0.740
As: 0.757 0.000 0.262


## Ho2SnAs (PBE)

Data for crystalline Ho2SnAs at its relaxed geometry.

Summary:
- polymorph energy (0 for the lowest one) (eV per atom) = 0.000
- SG = Cmcm, No. 63
- crystal system = orthorhombic
- calculated volume (Å³ per cell) = 208
- calculated formation energy (meV/atom) = -1092

Cell lengths 11.701, 11.701, 4.195 Å; angles 90.00, 90.00, 158.79 degrees
Element x y z (fractional)
Ho: 0.068 0.932 0.750
Ho: 0.311 0.689 0.750
Ho: 0.689 0.311 0.250
Ho: 0.932 0.068 0.250
Sn: 0.453 0.547 0.750
Sn: 0.547 0.453 0.250
As: 0.189 0.811 0.750
As: 0.811 0.189 0.250


## Ho2SnAs (PBE)

Data for crystalline Ho2SnAs at its relaxed geometry.

Summary:
- polymorph energy (0 for the lowest one) (eV per atom) = 0.041
- SG = R-3m, No. 166
- crystal system = trigonal
- calculated volume (Å³ per cell) = 107
- calculated formation energy (meV/atom) = -1052

Cell lengths 7.962, 7.962, 7.962 Å; angles 29.26, 29.26, 29.26 degrees
Element x y z (fractional)
Ho: 0.239 0.239 0.239
Ho: 0.761 0.761 0.761
Sn: 0.000 0.000 0.000
As: 0.500 0.500 0.500


## Ho8SnTe4As3 (PBE)

Data for crystalline Ho8SnTe4As3 at its relaxed geometry.

Summary:
- E_form (uncorrected) (eV/atom) = -1.355
- SG = R-3m, No. 166
- crystal system = trigonal
- calculated volume (Å³ per cell) = 439

Cell lengths 8.585, 8.585, 8.585 Å; angles 59.13, 59.13, 59.13 degrees
Element x y z (fractional)
Ho: 0.233 0.745 0.745
Ho: 0.239 0.239 0.239
Ho: 0.255 0.255 0.767
Ho: 0.255 0.767 0.255
Ho: 0.745 0.233 0.745
Ho: 0.745 0.745 0.233
Ho: 0.761 0.761 0.761
Ho: 0.767 0.255 0.255
Sn: 0.500 0.500 0.500
Te: 0.000 0.000 0.000
Te: 0.000 0.500 0.500
Te: 0.500 0.000 0.500
Te: 0.500 0.500 0.000
As: 0.000 0.000 0.500
As: 0.000 0.500 0.000
As: 0.500 0.000 0.000


## Ho6SnTe3As2 (PBE)

Data for crystalline Ho6SnTe3As2 at its relaxed geometry.

Summary:
- E_form (uncorrected) (eV/atom) = -1.317
- SG = C2/m, No. 12
- crystal system = monoclinic
- calculated volume (Å³ per cell) = 332

Cell lengths 9.592, 9.592, 8.620 Å; angles 103.80, 103.80, 25.57 degrees
Element x y z (fractional)
Ho: 0.009 0.009 0.247
Ho: 0.325 0.325 0.433
Ho: 0.335 0.335 0.893
Ho: 0.665 0.665 0.107
Ho: 0.675 0.675 0.567
Ho: 0.991 0.991 0.753
Sn: 0.500 0.500 0.000
Te: 0.165 0.165 0.833
Te: 0.500 0.500 0.500
Te: 0.835 0.835 0.167
As: 0.168 0.168 0.337
As: 0.832 0.832 0.663


## Sr3HoTh2As6 (PBE)

Data for crystalline Sr3HoTh2As6 at its relaxed geometry.

Summary:
- SG = C2/m, No. 12
- crystal system = monoclinic
- calculated volume (Å³ per cell) = 351
- calculated formation energy (meV/atom) = -1297

Cell lengths 7.494, 7.494, 7.629 Å; angles 99.42, 99.42, 120.02 degrees
Element x y z (fractional)
Sr: 0.000 0.000 0.000
Sr: 0.333 0.667 0.000
Sr: 0.667 0.333 0.000
Ho: 0.500 0.500 0.500
Th: 0.167 0.833 0.500
Th: 0.833 0.167 0.500
As: 0.094 0.425 0.274
As: 0.245 0.245 0.726
As: 0.425 0.094 0.274
As: 0.575 0.906 0.726
As: 0.755 0.755 0.274
As: 0.906 0.575 0.726


## Sr4HoTh3As8 (PBE)

Data for crystalline Sr4HoTh3As8 at its relaxed geometry.

Summary:
- SG = R-3m, No. 166
- crystal system = trigonal
- calculated volume (Å³ per cell) = 470
- calculated formation energy (meV/atom) = -1312

Cell lengths 8.773, 8.773, 8.773 Å; angles 59.27, 59.27, 59.27 degrees
Element x y z (fractional)
Sr: 0.000 0.000 0.000
Sr: 0.000 0.500 0.500
Sr: 0.500 0.000 0.500
Sr: 0.500 0.500 0.000
Ho: 0.500 0.500 0.500
Th: 0.000 0.000 0.500
Th: 0.000 0.500 0.000
Th: 0.500 0.000 0.000
As: 0.243 0.243 0.243
As: 0.245 0.740 0.740
As: 0.260 0.260 0.755
As: 0.260 0.755 0.260
As: 0.740 0.245 0.740
As: 0.740 0.740 0.245
As: 0.755 0.260 0.260
As: 0.757 0.757 0.757


The records above yield M_tot values of 0.00 0.00 0.00 0.00 0.00 0.00 0.00 0.00 0.00 2.36 0.00 0.00 0.00 0.00 0.00 0.00 0.00 0.00 0.00 0.00 μB per formula unit, respectively.